Record 1
## MgScB2I (PBE)

Data for an optimized crystal structure of MgScB2I.

Cell: 4.6114 5.6325 4.6114 Å, 90.00 90.00 90.00°
Atoms (fractional coordinates):
B: 0.5000 0.0000 0.0000
Sc: 0.0000 0.0000 0.0000
B: 0.0000 0.0000 0.5000
Mg: 0.5000 0.5000 0.5000
I: 0.0000 0.5000 0.0000

Output
Crystal system   tetragonal
E_form (uncorrected)   1.2075 eV/atom

Record 2
## MgBTe2I (PBE)

Data for an optimized crystal structure of MgBTe2I.

Cell: 5.0108 5.0108 4.9957 Å, 90.00 90.00 90.00°
Atoms (fractional coordinates):
Te: 0.0000 0.5000 0.0000
Mg: 0.5000 0.5000 0.5000
B: 0.0000 0.0000 0.0000
I: 0.0000 0.0000 0.5000
Te: 0.5000 0.0000 0.0000

Output
Crystal system   tetragonal
E_form (uncorrected)   0.5109 eV/atom

Record 3
## MgBTe2I (PBE)

Data for an optimized crystal structure of MgBTe2I.

Cell: 5.4804 5.4804 5.6625 Å, 90.00 90.00 90.00°
Atoms (fractional coordinates):
B: 0.5000 0.5000 0.5000
Te: 0.0000 0.5000 0.0000
I: 0.0000 0.0000 0.5000
Te: 0.5000 0.0000 0.0000
Mg: 0.0000 0.0000 0.0000

Output
Crystal system   tetragonal
E_form (uncorrected)   0.9857 eV/atom

Record 4
## Mg2TlBI (PBE)

Data for an optimized crystal structure of Mg2TlBI.

Cell: 4.6882 5.9500 4.6882 Å, 90.00 90.00 90.00°
Atoms (fractional coordinates):
Mg: 0.0000 0.0000 0.5000
Tl: 0.5000 0.5000 0.5000
I: 0.0000 0.5000 0.0000
B: 0.0000 0.0000 0.0000
Mg: 0.5000 0.0000 0.0000

Output
Crystal system   tetragonal
E_form (uncorrected)   0.3313 eV/atom

Record 5
## Mg2TlBI (PBE)

Data for an optimized crystal structure of Mg2TlBI.

Cell: 5.6909 6.4053 5.6909 Å, 90.00 90.00 90.00°
Atoms (fractional coordinates):
B: 0.5000 0.5000 0.5000
Mg: 0.5000 0.0000 0.0000
Tl: 0.0000 0.5000 0.0000
I: 0.0000 0.0000 0.0000
Mg: 0.0000 0.0000 0.5000

Output
Crystal system   tetragonal
E_form (uncorrected)   1.4412 eV/atom

Record 6
## MgBWI2 (PBE)

Data for an optimized crystal structure of MgBWI2.

Cell: 5.6224 5.6105 5.6224 Å, 90.00 90.00 90.00°
Last column: magnetic moment on the atom in μB.
Atoms (fractional coordinates):
I: 0.0000 0.0000 0.5000  0.05
B: 0.5000 0.5000 0.5000  0.18
Mg: 0.0000 0.0000 0.0000  0.00
W: 0.0000 0.5000 0.0000  3.17
I: 0.5000 0.0000 0.0000  0.03

Output
Crystal system   tetragonal
E_form (uncorrected)   2.0991 eV/atom

Record 7
## MnBI2 (PBE)

Data for an optimized crystal structure of MnBI2.

Cell: 6.8400 6.8400 7.2867 Å, 62.01 62.01 90.00°
Last column: magnetic moment on the atom in μB.
Atoms (fractional coordinates):
I: 0.1083 0.6250 0.2500  0.03
Mn: 0.0000 0.0000 0.0000  3.91
I: 0.8750 0.8917 0.7500  0.03
I: 0.3750 0.3583 0.7500  0.03
Mn: 0.7500 0.2500 0.5000  3.92
I: 0.6417 0.1250 0.2500  0.03
B: 0.2500 0.7500 0.5000  -0.12
B: 0.5000 0.5000 0.0000  -0.12

Output
Crystal system   tetragonal
E_form (uncorrected)   1.0566 eV/atom

Record 8
## Mn2BI (PBE)

Data for an optimized crystal structure of Mn2BI.

Cell: 5.1835 5.1835 6.7030 Å, 67.25 67.25 90.00°
Last column: magnetic moment on the atom in μB.
Atoms (fractional coordinates):
B: 0.5000 0.5000 0.0000  -0.33
Mn: 0.3750 0.4956 0.7500  3.07
I: 0.0000 0.0000 0.0000  0.01
B: 0.2500 0.7500 0.5000  -0.33
Mn: 0.2456 0.6250 0.2500  3.09
Mn: 0.8750 0.7544 0.7500  3.06
I: 0.7500 0.2500 0.5000  0.01
Mn: 0.5044 0.1250 0.2500  3.09

Output
Crystal system   tetragonal
E_form (uncorrected)   0.5645 eV/atom

Record 9
## Mn2BI (PBE)

Data for an optimized crystal structure of Mn2BI.

Cell: 4.0992 4.0992 4.0992 Å, 60.00 60.00 60.00°
Atoms (fractional coordinates):
B: 0.0000 0.0000 0.0000
Mn: 0.2500 0.2500 0.2500
Mn: 0.7500 0.7500 0.7500
I: 0.5000 0.5000 0.5000

Output
Crystal system   cubic
E_form (uncorrected)   1.1195 eV/atom

Record 10
## MnBI2 (PBE)

Data for an optimized crystal structure of MnBI2.

Cell: 5.1094 5.1094 5.1094 Å, 60.00 60.00 60.00°
Last column: magnetic moment on the atom in μB.
Atoms (fractional coordinates):
B: 0.0000 0.0000 0.0000  -0.10
I: 0.2500 0.2500 0.2500  0.04
Mn: 0.5000 0.5000 0.5000  4.15
I: 0.7500 0.7500 0.7500  0.04

Output
Crystal system   cubic
E_form (uncorrected)   1.2105 eV/atom

Record 11
## MnBI3 (PBE)

Data for an optimized crystal structure of MnBI3.

Cell: 5.6172 5.6172 5.6172 Å, 90.00 90.00 90.00°
Last column: magnetic moment on the atom in μB.
Atoms (fractional coordinates):
Mn: 0.0000 0.0000 0.0000  4.24
I: 0.0000 0.5000 0.0000  0.06
I: 0.5000 0.0000 0.0000  0.06
I: 0.0000 0.0000 0.5000  0.04
B: 0.5000 0.5000 0.5000  -0.03

Output
Crystal system   cubic
E_form (uncorrected)   0.8717 eV/atom

Record 12
## Mn3BI (PBE)

Data for an optimized crystal structure of Mn3BI.

Cell: 4.5660 4.5660 4.5660 Å, 90.00 90.00 90.00°
Last column: magnetic moment on the atom in μB.
Atoms (fractional coordinates):
B: 0.5000 0.5000 0.5000  0.00
Mn: 0.0000 0.5000 0.0000  -0.39
Mn: 0.5000 0.0000 0.0000  -0.25
Mn: 0.0000 0.0000 0.5000  -0.42
I: 0.0000 0.0000 0.0000  0.02

Output
Crystal system   cubic
E_form (uncorrected)   2.8242 eV/atom

Record 13
## MnBI3 (PBE)

Data for an optimized crystal structure of MnBI3.

Cell: 5.1607 5.1607 5.1607 Å, 90.00 90.00 90.00°
Last column: magnetic moment on the atom in μB.
Atoms (fractional coordinates):
I: 0.0000 0.0000 0.5000  0.02
B: 0.0000 0.0000 0.0000  -0.05
Mn: 0.5000 0.5000 0.5000  4.59
I: 0.0000 0.5000 0.0000  0.05
I: 0.5000 0.0000 0.0000  -0.02

Output
Crystal system   cubic
E_form (uncorrected)   0.8563 eV/atom

Record 14
## MnB2I8 (PBE)

Data for an optimized crystal structure of MnB2I8.

Cell: 8.7108 8.2664 8.2664 Å, 96.52 81.86 81.86°
Last column: magnetic moment on the atom in μB.
Atoms (fractional coordinates):
B: 0.2295 0.2624 0.2624  0.00
I: 0.7572 0.1818 0.1818  0.03
Mn: 0.0000 0.0000 0.0000  4.31
B: 0.7705 0.7376 0.7376  0.00
I: 0.7239 0.5562 0.5562  0.00
I: 0.2761 0.4438 0.4438  0.00
I: 0.7978 0.6796 0.9779  0.02
I: 0.2428 0.8182 0.8182  0.03
I: 0.7978 0.9779 0.6796  0.02
I: 0.2022 0.3204 0.0221  0.02
I: 0.2022 0.0221 0.3204  0.02

Output
Crystal system   monoclinic
E_form (uncorrected)   -0.0633 eV/atom

Record 15
## Mn3BI (PBE)

Data for an optimized crystal structure of Mn3BI.

Cell: 4.1793 4.1793 4.1793 Å, 90.00 90.00 90.00°
Last column: magnetic moment on the atom in μB.
Atoms (fractional coordinates):
I: 0.5000 0.5000 0.5000  0.06
B: 0.0000 0.0000 0.0000  -0.24
Mn: 0.0000 0.5000 0.0000  3.11
Mn: 0.0000 0.0000 0.5000  3.03
Mn: 0.5000 0.0000 0.0000  2.72

Output
Crystal system   cubic
E_form (uncorrected)   0.4754 eV/atom

Record 16
## MnB2I (PBE)

Data for an optimized crystal structure of MnB2I.

Cell: 4.0705 4.0705 4.0705 Å, 60.00 60.00 60.00°
Atoms (fractional coordinates):
I: 0.5000 0.5000 0.5000
Mn: 0.0000 0.0000 0.0000
B: 0.7500 0.7500 0.7500
B: 0.2500 0.2500 0.2500

Output
Crystal system   cubic
E_form (uncorrected)   2.0113 eV/atom

Record 17
## MnB2I (PBE)

Data for an optimized crystal structure of MnB2I.

Cell: 5.1679 5.1679 6.2047 Å, 65.39 65.39 90.00°
Last column: magnetic moment on the atom in μB.
Atoms (fractional coordinates):
I: 0.0000 0.0000 0.0000  0.09
I: 0.7500 0.2500 0.5000  0.09
B: 0.5417 0.1250 0.2500  -0.11
B: 0.2083 0.6250 0.2500  -0.11
B: 0.3750 0.4583 0.7500  -0.11
Mn: 0.2500 0.7500 0.5000  1.86
Mn: 0.5000 0.5000 0.0000  1.87
B: 0.8750 0.7917 0.7500  -0.11

Output
Crystal system   tetragonal
E_form (uncorrected)   1.2272 eV/atom

Record 18
## MnBI2N (PBE)

Data for an optimized crystal structure of MnBI2N.

Cell: 5.4922 5.4922 3.5764 Å, 90.00 90.00 90.00°
Last column: magnetic moment on the atom in μB.
Atoms (fractional coordinates):
I: 0.5000 0.0000 0.0000  0.01
I: 0.0000 0.5000 0.0000  0.01
N: 0.0000 0.0000 0.5000  -0.34
B: 0.5000 0.5000 0.5000  0.03
Mn: 0.0000 0.0000 0.0000  2.44

Output
Crystal system   tetragonal
E_form (uncorrected)   1.0450 eV/atom

Record 19
## MnBIN2 (PBE)

Data for an optimized crystal structure of MnBIN2.

Cell: 3.4446 3.4446 6.3634 Å, 90.00 90.00 90.00°
Last column: magnetic moment on the atom in μB.
Atoms (fractional coordinates):
N: 0.0000 0.5000 0.0000  0.16
Mn: 0.5000 0.5000 0.5000  3.49
B: 0.0000 0.0000 0.0000  -0.02
I: 0.0000 0.0000 0.5000  0.06
N: 0.5000 0.0000 0.0000  0.16

Output
Crystal system   tetragonal
E_form (uncorrected)   1.5733 eV/atom

Record 20
## MnBIN2 (PBE)

Data for an optimized crystal structure of MnBIN2.

Cell: 3.6022 3.6022 5.5838 Å, 90.00 90.00 90.00°
Atoms (fractional coordinates):
N: 0.0000 0.5000 0.0000
B: 0.5000 0.5000 0.5000
Mn: 0.0000 0.0000 0.0000
I: 0.0000 0.0000 0.5000
N: 0.5000 0.0000 0.0000

Output
Crystal system   tetragonal
E_form (uncorrected)   1.3558 eV/atom

Record 21
## MnBI2N (PBE)

Data for an optimized crystal structure of MnBI2N.

Cell: 6.6313 6.6313 2.7988 Å, 90.00 90.00 90.00°
Last column: magnetic moment on the atom in μB.
Atoms (fractional coordinates):
I: 0.5000 0.0000 0.0000  0.05
B: 0.0000 0.0000 0.0000  0.00
I: 0.0000 0.5000 0.0000  0.05
Mn: 0.5000 0.5000 0.5000  4.34
N: 0.0000 0.0000 0.5000  0.00

Output
Crystal system   tetragonal
E_form (uncorrected)   0.3345 eV/atom

Record 22
## NaMnBI2 (PBE)

Data for an optimized crystal structure of NaMnBI2.

Cell: 5.4353 5.4353 4.8612 Å, 90.00 90.00 90.00°
Last column: magnetic moment on the atom in μB.
Atoms (fractional coordinates):
I: 0.0000 0.5000 0.0000  0.08
B: 0.0000 0.0000 0.0000  0.12
I: 0.5000 0.0000 0.0000  0.08
Mn: 0.5000 0.5000 0.5000  4.62
Na: 0.0000 0.0000 0.5000  0.02

Output
Crystal system   tetragonal
E_form (uncorrected)   0.9356 eV/atom

Record 23
## MnB2PdI (PBE)

Data for an optimized crystal structure of MnB2PdI.

Cell: 4.4064 4.4064 5.0024 Å, 90.00 90.00 90.00°
Last column: magnetic moment on the atom in μB.
Atoms (fractional coordinates):
B: 0.5000 0.0000 0.0000  -0.06
Mn: 0.0000 0.0000 0.5000  3.75
Pd: 0.5000 0.5000 0.5000  0.09
B: 0.0000 0.5000 0.0000  -0.06
I: 0.0000 0.0000 0.0000  -0.04

Output
Crystal system   tetragonal
E_form (uncorrected)   2.2833 eV/atom

Record 24
## MnBSbI2 (PBE)

Data for an optimized crystal structure of MnBSbI2.

Cell: 6.2307 4.4155 6.2307 Å, 90.00 90.00 90.00°
Last column: magnetic moment on the atom in μB.
Atoms (fractional coordinates):
Mn: 0.5000 0.5000 0.5000  4.76
I: 0.0000 0.0000 0.5000  0.02
B: 0.0000 0.5000 0.0000  -0.33
I: 0.5000 0.0000 0.0000  0.03
Sb: 0.0000 0.0000 0.0000  0.00

Output
Crystal system   tetragonal
E_form (uncorrected)   1.1763 eV/atom

Record 25
## MnBSbI2 (PBE)

Data for an optimized crystal structure of MnBSbI2.

Cell: 5.5138 5.5138 5.1981 Å, 90.00 90.00 90.00°
Last column: magnetic moment on the atom in μB.
Atoms (fractional coordinates):
B: 0.5000 0.5000 0.5000  0.13
Mn: 0.0000 0.0000 0.0000  3.65
I: 0.0000 0.5000 0.0000  0.00
I: 0.5000 0.0000 0.0000  0.00
Sb: 0.0000 0.0000 0.5000  -0.26

Output
Crystal system   tetragonal
E_form (uncorrected)   1.1596 eV/atom

Record 26
## MnBSbI2 (PBE)

Data for an optimized crystal structure of MnBSbI2.

Cell: 4.9916 4.9916 5.0868 Å, 90.00 90.00 90.00°
Last column: magnetic moment on the atom in μB.
Atoms (fractional coordinates):
Sb: 0.0000 0.0000 0.5000  -0.12
Mn: 0.5000 0.5000 0.5000  4.40
I: 0.5000 0.0000 0.0000  0.02
I: 0.0000 0.5000 0.0000  0.02
B: 0.0000 0.0000 0.0000  -0.02

Output
Crystal system   tetragonal
E_form (uncorrected)   0.9976 eV/atom

Record 27
## MnSnBI2 (PBE)

Data for an optimized crystal structure of MnSnBI2.

Cell: 6.2622 5.3321 6.2622 Å, 90.00 90.00 90.00°
Last column: magnetic moment on the atom in μB.
Atoms (fractional coordinates):
Mn: 0.0000 0.5000 0.0000  4.29
I: 0.0000 0.0000 0.5000  0.04
Sn: 0.0000 0.0000 0.0000  -0.10
B: 0.5000 0.5000 0.5000  0.28
I: 0.5000 0.0000 0.0000  0.02

Output
Crystal system   tetragonal
E_form (uncorrected)   1.3482 eV/atom

Record 28
## MnBTe2I (PBE)

Data for an optimized crystal structure of MnBTe2I.

Cell: 5.2129 5.2129 5.5451 Å, 90.00 90.00 90.00°
Last column: magnetic moment on the atom in μB.
Atoms (fractional coordinates):
Mn: 0.0000 0.0000 0.0000  3.54
Te: 0.5000 0.0000 0.0000  -0.07
B: 0.5000 0.5000 0.5000  0.08
Te: 0.0000 0.5000 0.0000  -0.07
I: 0.0000 0.0000 0.5000  -0.02

Output
Crystal system   tetragonal
E_form (uncorrected)   1.0934 eV/atom